Entry 1:
A geometry-optimized LaSc2Zn structure. Source: Alexandria via LeMat-Bulk, functional PBE.

Structure (CIF):
```
data_LaSc2Zn
_chemical_formula_sum 'La3 Sc6 Zn3'
_symmetry_space_group_name_H-M 'R 3 m'
_symmetry_Int_Tables_number 160
_symmetry_space_group_name_Hall 'R 3 -2"'
_cell_length_a 3.4259
_cell_length_b 3.4259
_cell_length_c 30.0433
_cell_angle_alpha 90.00
_cell_angle_beta 90.00
_cell_angle_gamma 120.00
loop_
_atom_site_label
_atom_site_fract_x
_atom_site_fract_y
_atom_site_fract_z
_atom_site_occupancy
La1 0.0000 0.0000 0.0000 1
Sc1 0.0000 0.0000 0.5674 1
Sc2 0.0000 0.0000 0.7636 1
Zn1 0.0000 0.0000 0.1652 1
```

## Properties
total moment	0.00	μB per formula unit
density of states at the Fermi level	1.246	states/eV/atom
ΔH_f (0 K)	-0.0074	eV/atom


Entry 2:
A geometry-optimized LaSc2Zn9 structure. Source: Alexandria via LeMat-Bulk, functional PBE.

Structure (CIF):
```
data_LaSc2Zn9
_chemical_formula_sum 'La3 Sc6 Zn27'
_symmetry_space_group_name_H-M 'R -3 m'
_symmetry_Int_Tables_number 166
_symmetry_space_group_name_Hall '-R 3 2"'
_cell_length_a 5.3767
_cell_length_b 5.3767
_cell_length_c 25.4725
_cell_angle_alpha 90.00
_cell_angle_beta 90.00
_cell_angle_gamma 120.00
loop_
_atom_site_label
_atom_site_fract_x
_atom_site_fract_y
_atom_site_fract_z
_atom_site_occupancy
La1 0.0000 0.0000 0.0000 1
Sc1 0.0000 0.0000 0.1451 1
Zn1 0.0000 0.0000 0.3354 1
Zn2 0.0000 0.0000 0.5000 1
Zn3 0.0086 0.5043 0.9139 1
```

## Properties
total moment	0.00	μB per formula unit
density of states at the Fermi level	0.692	states/eV/atom
ΔH_f (0 K)	-0.3239	eV/atom


Entry 3:
A geometry-optimized La5ScZn4 structure. Source: Alexandria via LeMat-Bulk, functional PBE.

Structure (CIF):
```
data_La5ScZn4
_chemical_formula_sum 'La5 Sc1 Zn4'
_symmetry_space_group_name_H-M 'P 4/m m m'
_symmetry_Int_Tables_number 123
_symmetry_space_group_name_Hall '-P 4 2'
_cell_length_a 3.7684
_cell_length_b 3.7684
_cell_length_c 19.3799
_cell_angle_alpha 90.00
_cell_angle_beta 90.00
_cell_angle_gamma 90.00
loop_
_atom_site_label
_atom_site_fract_x
_atom_site_fract_y
_atom_site_fract_z
_atom_site_occupancy
La1 0.0000 0.0000 0.0000 1
La2 0.0000 0.0000 0.1932 1
La3 0.0000 0.0000 0.3844 1
Sc1 0.5000 0.5000 0.5000 1
Zn1 0.5000 0.5000 0.0956 1
Zn2 0.5000 0.5000 0.2920 1
```

## Properties
total moment	0.00	μB per formula unit
density of states at the Fermi level	1.362	states/eV/atom
ΔH_f (0 K)	-0.2265	eV/atom


Entry 4:
A geometry-optimized LaScZn2 structure. Source: Alexandria via LeMat-Bulk, functional PBE.

Structure (CIF):
```
data_LaScZn2
_chemical_formula_sum 'La1 Sc1 Zn2'
_symmetry_space_group_name_H-M 'P 4/m m m'
_symmetry_Int_Tables_number 123
_symmetry_space_group_name_Hall '-P 4 2'
_cell_length_a 3.4946
_cell_length_b 3.4946
_cell_length_c 7.3344
_cell_angle_alpha 90.00
_cell_angle_beta 90.00
_cell_angle_gamma 90.00
loop_
_atom_site_label
_atom_site_fract_x
_atom_site_fract_y
_atom_site_fract_z
_atom_site_occupancy
La1 0.0000 0.0000 0.0000 1
Sc1 0.0000 0.0000 0.5000 1
Zn1 0.5000 0.5000 0.2969 1
```

## Properties
total moment	0.01	μB per formula unit
density of states at the Fermi level	1.068	states/eV/atom
ΔH_f (0 K)	-0.3163	eV/atom


Entry 5:
A geometry-optimized LaScZn2 structure. Source: Alexandria via LeMat-Bulk, functional PBE.

Structure (CIF):
```
data_LaScZn2
_chemical_formula_sum 'La2 Sc2 Zn4'
_symmetry_space_group_name_H-M 'A m m 2'
_symmetry_Int_Tables_number 38
_symmetry_space_group_name_Hall 'A 2 -2'
_cell_length_a 4.4130
_cell_length_b 3.5335
_cell_length_c 11.9324
_cell_angle_alpha 90.00
_cell_angle_beta 90.00
_cell_angle_gamma 90.00
loop_
_atom_site_label
_atom_site_fract_x
_atom_site_fract_y
_atom_site_fract_z
_atom_site_occupancy
La1 0.0000 0.0000 0.0000 1
Sc1 0.5000 0.0000 0.6968 1
Zn1 0.0000 0.0000 0.2652 1
Zn2 0.5000 0.0000 0.3891 1
```

## Properties
total moment	0.00	μB per formula unit
density of states at the Fermi level	1.159	states/eV/atom
ΔH_f (0 K)	-0.2461	eV/atom


Entry 6:
A geometry-optimized LaSc3Zn2 structure. Source: Alexandria via LeMat-Bulk, functional PBE.

Structure (CIF):
```
data_LaSc3Zn2
_chemical_formula_sum 'La1 Sc3 Zn2'
_symmetry_space_group_name_H-M 'P 4/m m m'
_symmetry_Int_Tables_number 123
_symmetry_space_group_name_Hall '-P 4 2'
_cell_length_a 3.3899
_cell_length_b 3.3899
_cell_length_c 11.8184
_cell_angle_alpha 90.00
_cell_angle_beta 90.00
_cell_angle_gamma 90.00
loop_
_atom_site_label
_atom_site_fract_x
_atom_site_fract_y
_atom_site_fract_z
_atom_site_occupancy
La1 0.0000 0.0000 0.0000 1
Sc1 0.5000 0.5000 0.2218 1
Sc2 0.5000 0.5000 0.5000 1
Zn1 0.0000 0.0000 0.3602 1
```

## Properties
total moment	0.00	μB per formula unit
density of states at the Fermi level	1.240	states/eV/atom
ΔH_f (0 K)	-0.2176	eV/atom


Going through the records in order, we get uncorrected energy values of -56.7 -98.8 -38.3 -15.1 -29.6 -27.8 eV/cell.